Computed, not measured: a relaxed structure of InWSeBr2 at the PBEsol level of DFT.

The value obtained for the total moment is 4.6 μB per cell. Its raw formation energy is 1144 meV/atom.

Unit cell a=5.1780 b=5.1780 c=5.3834 alpha=90.00 beta=90.00 gamma=90.00
Last column: magnetic moment on the atom in μB.
Positions (direct):
Se  0.0000  0.0000  0.5000  -0.17
Br  0.0000  0.5000  0.0000  0.03
Br  0.5000  0.0000  0.0000  0.03
W  0.5000  0.5000  0.5000  3.45
In  0.0000  0.0000  0.0000  0.01